[1]
# Ac4SnS3 (GGA-PBE, optimized geometry)
# - Density of states at the Fermi level: 6.64 states/eV/cell
# - Total magnetization: 0.000 μB/atom
# - E_form (uncorrected): -1655 meV per atom
data_Ac4SnS3
_chemical_formula_sum 'Ac8 Sn2 S6'
_symmetry_space_group_name_H-M 'I 4/m m m'
_symmetry_Int_Tables_number 139
_symmetry_space_group_name_Hall '-I 4 2'
_cell_length_a 6.319
_cell_length_b 6.319
_cell_length_c 12.598
_cell_angle_alpha 90.00
_cell_angle_beta 90.00
_cell_angle_gamma 90.00
loop_
_atom_site_label
_atom_site_type_symbol
_atom_site_fract_x
_atom_site_fract_y
_atom_site_fract_z
Ac1 Ac 0.000 0.000 0.241
Ac2 Ac 0.000 0.500 0.000
Sn1 Sn 0.000 0.000 0.500
S1 S 0.000 0.000 0.000
S2 S 0.000 0.500 0.250


[2]
# Ac7SnS5 (GGA-PBE, optimized geometry)
# - Density of states at the Fermi level: 36.61 states/eV/cell
# - Total magnetization: 0.031 μB/atom
# - E_form (uncorrected): -1640 meV per atom
data_Ac7SnS5
_chemical_formula_sum 'Ac28 Sn4 S20'
_symmetry_space_group_name_H-M 'C 1 2/m 1'
_symmetry_Int_Tables_number 12
_cell_length_a 14.139
_cell_length_b 4.441
_cell_length_c 25.861
_cell_angle_alpha 90.00
_cell_angle_beta 90.05
_cell_angle_gamma 90.00
loop_
_symmetry_equiv_pos_as_xyz
'x,y,z'
'-x,-y,-z'
'-x,y,-z'
'x,-y,z'
'x+1/2,y+1/2,z'
'-x+1/2,-y+1/2,-z'
'-x+1/2,y+1/2,-z'
'x+1/2,-y+1/2,z'
loop_
_atom_site_label
_atom_site_type_symbol
_atom_site_fract_x
_atom_site_fract_y
_atom_site_fract_z
Ac1 Ac 0.029 0.000 0.250
Ac2 Ac 0.096 0.500 0.391
Ac3 Ac 0.097 0.500 0.109
Ac4 Ac 0.135 0.000 0.536
Ac5 Ac 0.135 0.000 0.964
Ac6 Ac 0.177 0.500 0.673
Ac7 Ac 0.177 0.500 0.827
Sn1 Sn 0.205 0.500 0.250
S1 S 0.000 0.500 0.000
S2 S 0.000 0.500 0.500
S3 S 0.039 0.000 0.861
S4 S 0.040 0.000 0.639
S5 S 0.230 0.000 0.069
S6 S 0.230 0.000 0.431


[3]
# AcSnS (GGA-PBE, optimized geometry)
# - Density of states at the Fermi level: 3.15 states/eV/cell
# - Total magnetization: 0.000 μB/atom
# - E_form (uncorrected): -1295 meV per atom
data_AcSnS
_chemical_formula_sum 'Ac2 Sn2 S2'
_symmetry_space_group_name_H-M 'P 4/n m m'
_symmetry_Int_Tables_number 129
_cell_length_a 4.113
_cell_length_b 4.113
_cell_length_c 10.337
_cell_angle_alpha 90.00
_cell_angle_beta 90.00
_cell_angle_gamma 90.00
loop_
_symmetry_equiv_pos_as_xyz
'x,y,z'
'-x,-y,-z'
'-y+1/2,x,z'
'y+1/2,-x,-z'
'-x+1/2,-y+1/2,z'
'x+1/2,y+1/2,-z'
'y,-x+1/2,z'
'-y,x+1/2,-z'
'x+1/2,-y,-z'
'-x+1/2,y,z'
'-y,-x,-z'
'y,x,z'
'-x,y+1/2,-z'
'x,-y+1/2,z'
'y+1/2,x+1/2,-z'
'-y+1/2,-x+1/2,z'
loop_
_atom_site_label
_atom_site_type_symbol
_atom_site_fract_x
_atom_site_fract_y
_atom_site_fract_z
Ac1 Ac 0.250 0.250 0.189
Sn1 Sn 0.250 0.250 0.555
S1 S 0.250 0.250 0.893


[4]
# Ac3SnS6 (GGA-PBE, optimized geometry)
# - Density of states at the Fermi level: 6.77 states/eV/cell
# - Total magnetization: 0.000 μB/atom
# - E_form (uncorrected): -1716 meV per atom
data_Ac3SnS6
_chemical_formula_sum 'Ac12 Sn4 S24'
_symmetry_space_group_name_H-M 'C m c 21'
_symmetry_Int_Tables_number 36
_cell_length_a 11.574
_cell_length_b 14.261
_cell_length_c 7.137
_cell_angle_alpha 90.00
_cell_angle_beta 90.00
_cell_angle_gamma 90.00
loop_
_symmetry_equiv_pos_as_xyz
'x,y,z'
'-x,-y,z+1/2'
'-x,y,z'
'x,-y,z+1/2'
'x+1/2,y+1/2,z'
'-x+1/2,-y+1/2,z+1/2'
'-x+1/2,y+1/2,z'
'x+1/2,-y+1/2,z+1/2'
loop_
_atom_site_label
_atom_site_type_symbol
_atom_site_fract_x
_atom_site_fract_y
_atom_site_fract_z
Ac1 Ac 0.000 0.102 0.000
Ac2 Ac 0.189 0.395 0.921
Sn1 Sn 0.000 0.335 0.401
S1 S 0.000 0.272 0.746
S2 S 0.000 0.489 0.163
S3 S 0.157 0.246 0.227
S4 S 0.161 0.021 0.710